No. 1
SrSc2SnH after structural relaxation, computed with PBE.

a = 4.583 Å, b = 5.395 Å, c = 4.583 Å
α = 90.00°, β = 90.00°, γ = 90.00°
Site moments in Bohr magnetons follow the coordinates.
Atoms (fractional coordinates):
Sc (0.000, 0.000, 0.500)  0.28
Sc (0.500, 0.000, 0.000)  0.26
Sr (0.500, 0.500, 0.500)  0.00
Sn (0.000, 0.500, 0.000)  -0.02
H (0.000, 0.000, 0.000)  -0.01

Summary:
For the electronic total energy, the calculation gives -22.348 eV/cell. For the size of the total moment, the calculation gives 0.712 μB per formula unit.

No. 2
Sc2TaSnH after structural relaxation, computed with PBE.

a = 4.504 Å, b = 4.504 Å, c = 4.139 Å
α = 90.00°, β = 90.00°, γ = 90.00°
Atoms (fractional coordinates):
Sc (0.000, 0.500, 0.000)
Sc (0.500, 0.000, 0.000)
H (0.000, 0.000, 0.000)
Sn (0.500, 0.500, 0.500)
Ta (0.000, 0.000, 0.500)

Summary:
For the electronic total energy, the calculation gives -33.513 eV/cell. For the size of the total moment, the calculation gives 0.000 μB per formula unit.

No. 3
ScSnTeH2 after structural relaxation, computed with PBE.

a = 4.006 Å, b = 6.264 Å, c = 4.006 Å
α = 90.00°, β = 90.00°, γ = 90.00°
Atoms (fractional coordinates):
Sc (0.000, 0.500, 0.000)
H (0.000, 0.000, 0.500)
H (0.500, 0.000, 0.000)
Te (0.500, 0.500, 0.500)
Sn (0.000, 0.000, 0.000)

Summary:
For the electronic total energy, the calculation gives -20.864 eV/cell. For the size of the total moment, the calculation gives 0.000 μB per formula unit.